# 1
First-principles (PBE-GGA) data for a relaxed structure of Dy2SbS2, as listed in Alexandria via LeMat-Bulk.

a b c (Å): 4.0375 4.0375 11.2455
angles (deg): 79.71 79.71 59.97
Closest atoms and distances in Å follow each position.
Atoms (fractional coordinates):
Dy  0.4033  0.9033  0.7890  3 S 2.62
Dy  0.5967  0.0967  0.2110  3 S 2.62
S  0.2272  0.7272  0.3201  3 Dy 2.62
Sb  0.0000  0.5000  0.0000  6 Dy 3.29
S  0.7728  0.2728  0.6799  3 Dy 2.62

Values from the calculation:
Fermi-level density of states	0.226	states/eV per atom
formation energy from raw total energies	-1.488	eV/atom

=====

# 2
First-principles (PBE-GGA) data for a relaxed structure of Sc2TlSi2, as listed in Alexandria via LeMat-Bulk.

a b c (Å): 8.0916 8.0916 3.1470
angles (deg): 90.00 90.00 90.00
Closest atoms and distances in Å follow each position.
Atoms (fractional coordinates):
Sc  0.6351  0.1351  0.0000  6 Si 2.79-2.89, 1 Sc 3.09
Tl  0.0000  0.0000  0.0000  2 Tl 3.15, 4 Sc 3.15, 8 Si 3.41
Sc  0.1351  0.3649  0.0000  6 Si 2.79-2.89, 1 Sc 3.09
Sc  0.3649  0.8649  0.0000  6 Si 2.79-2.89, 1 Sc 3.09
Sc  0.8649  0.6351  0.0000  6 Si 2.79-2.89, 1 Sc 3.09
Si  0.3367  0.1633  0.5000  6 Sc 2.79-2.89
Si  0.8367  0.3367  0.5000  6 Sc 2.79-2.89
Si  0.1633  0.6633  0.5000  6 Sc 2.79-2.89
Si  0.6633  0.8367  0.5000  6 Sc 2.79-2.89
Tl  0.5000  0.5000  0.0000  2 Tl 3.15, 4 Sc 3.15, 8 Si 3.41

Values from the calculation:
Fermi-level density of states	0.269	states/eV per atom
formation energy from raw total energies	-0.280	eV/atom

=====

# 3
First-principles (PBE-GGA) data for a relaxed structure of Sm5YTh, as listed in Alexandria via LeMat-Bulk.

a b c (Å): 9.8350 6.5796 12.0537
angles (deg): 74.24 90.00 138.36
Closest atoms and distances in Å follow each position.
Atoms (fractional coordinates):
Th  0.0000  0.0000  0.0000  6 Sm 3.37-3.66
Sm  0.8463  0.0000  0.7500  6 Sm 3.30-3.70, 2 Th 3.37, 1 Y 3.42
Th  0.0000  0.0000  0.5000  6 Sm 3.37-3.66
Y  0.5013  0.0000  0.2500  9 Sm 3.42-3.62
Sm  0.6105  0.5866  0.3355  5 Sm 3.35-3.71, 2 Y 3.53-3.62, 1 Th 3.66
Y  0.4987  0.0000  0.7500  9 Sm 3.42-3.62
Sm  0.1537  0.0000  0.2500  6 Sm 3.30-3.70, 2 Th 3.37, 1 Y 3.42
Sm  0.2354  0.7694  0.5344  6 Sm 3.30-3.70, 2 Y 3.47-3.48, 1 Th 3.57
Sm  0.5340  0.7694  0.0344  6 Sm 3.30-3.70, 2 Y 3.47-3.48, 1 Th 3.57
Sm  0.4660  0.2306  0.9656  6 Sm 3.30-3.70, 2 Y 3.47-3.48, 1 Th 3.57
Sm  0.7646  0.2306  0.4656  6 Sm 3.30-3.70, 2 Y 3.47-3.48, 1 Th 3.57
Sm  0.0239  0.4134  0.1645  5 Sm 3.35-3.71, 2 Y 3.53-3.62, 1 Th 3.66
Sm  0.3895  0.4134  0.6645  5 Sm 3.35-3.71, 2 Y 3.53-3.62, 1 Th 3.66
Sm  0.9761  0.5866  0.8355  5 Sm 3.35-3.71, 2 Y 3.53-3.62, 1 Th 3.66

Values from the calculation:
Fermi-level density of states	1.439	states/eV per atom
DFT formation energy	138	meV per atom

=====

# 4
First-principles (PBE-GGA) data for a relaxed structure of CeSiNi4, as listed in Alexandria via LeMat-Bulk.

a b c (Å): 3.6473 6.5673 7.0571
angles (deg): 90.00 90.00 90.00
Closest atoms and distances in Å follow each position.
Atoms (fractional coordinates):
Si  0.0000  0.7928  0.2500  8 Ni 2.23-2.42
Ni  0.5000  0.2938  0.9452  2 Si 2.35, 1 Ni 2.56
Ni  0.5000  0.7062  0.4452  2 Si 2.35, 1 Ni 2.56
Ni  0.0000  0.0000  0.5000  2 Si 2.23
Ni  0.5000  0.7062  0.0548  2 Si 2.35, 1 Ni 2.56
Ni  0.5000  0.9643  0.7500  2 Si 2.42, 6 Ni 2.55-2.56
Ce  0.0000  0.6415  0.7500  8 Ni 2.80-2.94, 1 Si 2.85
Ce  0.0000  0.3585  0.2500  8 Ni 2.80-2.94, 1 Si 2.85
Si  0.0000  0.2072  0.7500  8 Ni 2.23-2.42
Ni  0.5000  0.0357  0.2500  2 Si 2.42, 6 Ni 2.55-2.56
Ni  0.0000  0.0000  0.0000  2 Si 2.23
Ni  0.5000  0.2938  0.5548  2 Si 2.35, 1 Ni 2.56

Values from the calculation:
Fermi-level density of states	0.782	states/eV per atom
formation energy from raw total energies	-0.440	eV/atom

=====

# 5
First-principles (PBE-GGA) data for a relaxed structure of LiNdTlSn, as listed in Alexandria via LeMat-Bulk.

a b c (Å): 4.5400 4.6392 4.8547
angles (deg): 90.00 90.00 90.00
Closest atoms and distances in Å follow each position.
Atoms (fractional coordinates):
Sn  0.5000  0.0000  0.5000  4 Nd 3.25, 4 Li 3.32, 4 Tl 3.36
Tl  0.5000  0.5000  0.0000  4 Li 3.25, 4 Nd 3.32, 4 Sn 3.36
Nd  0.0000  0.5000  0.5000  4 Sn 3.25, 4 Tl 3.32, 4 Li 3.36
Li  0.0000  0.0000  0.0000  4 Tl 3.25, 4 Sn 3.32, 4 Nd 3.36

Values from the calculation:
Fermi-level density of states	0.589	states/eV per atom
DFT formation energy	-458	meV per atom

=====

# 6
First-principles (PBE-GGA) data for a relaxed structure of AcPm2Sm2Er2, as listed in Alexandria via LeMat-Bulk.

a b c (Å): 5.1728 6.3298 8.1547
angles (deg): 97.55 90.00 114.12
Closest atoms and distances in Å follow each position.
Atoms (fractional coordinates):
Er  0.1426  0.2852  0.4341  3 Pm 3.54-3.64, 5 Sm 3.58-3.67, 3 Er 3.61-3.64, 1 Ac 3.68
Er  0.8574  0.7148  0.5659  3 Pm 3.54-3.64, 5 Sm 3.58-3.67, 3 Er 3.61-3.64, 1 Ac 3.68
Pm  0.2854  0.5709  0.8486  3 Er 3.54-3.64, 4 Sm 3.63-3.75, 3 Ac 3.67-3.68, 2 Pm 3.75
Ac  0.0000  0.0000  0.0000  6 Pm 3.67-3.68, 2 Er 3.68, 4 Sm 3.70
Sm  0.4258  0.8516  0.2926  1 Sm 3.57, 5 Er 3.58-3.67, 4 Pm 3.63-3.75, 2 Ac 3.70
Pm  0.7146  0.4291  0.1514  3 Er 3.54-3.64, 4 Sm 3.63-3.75, 3 Ac 3.67-3.68, 2 Pm 3.75
Sm  0.5742  0.1484  0.7074  1 Sm 3.57, 5 Er 3.58-3.67, 4 Pm 3.63-3.75, 2 Ac 3.70

Values from the calculation:
Fermi-level density of states	1.534	states/eV per atom
DFT formation energy	38	meV per atom

=====

# 7
First-principles (PBE-GGA) data for a relaxed structure of CuSnMo2, as listed in Alexandria via LeMat-Bulk.

a b c (Å): 3.7643 3.7643 10.2554
angles (deg): 79.42 79.42 90.00
Closest atoms and distances in Å follow each position.
Atoms (fractional coordinates):
Sn  0.7500  0.2500  0.5000  4 Cu 2.66, 4 Mo 2.83
Cu  0.2500  0.7500  0.5000  4 Sn 2.66, 4 Mo 2.80
Mo  0.6122  0.1250  0.2500  4 Mo 2.59-2.73, 2 Cu 2.80, 2 Sn 2.83
Mo  0.3750  0.3878  0.7500  4 Mo 2.59-2.73, 2 Cu 2.80, 2 Sn 2.83
Sn  0.0000  0.0000  0.0000  4 Cu 2.66, 4 Mo 2.83
Mo  0.8750  0.8622  0.7500  4 Mo 2.59-2.73, 2 Cu 2.80, 2 Sn 2.83
Cu  0.5000  0.5000  0.0000  4 Sn 2.66, 4 Mo 2.80
Mo  0.1378  0.6250  0.2500  4 Mo 2.59-2.73, 2 Cu 2.80, 2 Sn 2.83

Values from the calculation:
Fermi-level density of states	0.507	states/eV per atom
DFT formation energy	551	meV per atom

=====

# 8
First-principles (PBE-GGA) data for a relaxed structure of CsCrSn2B, as listed in Alexandria via LeMat-Bulk.

a b c (Å): 6.1151 4.8943 6.1151
angles (deg): 90.00 90.00 90.00
Closest atoms and distances in Å follow each position.
Atoms (fractional coordinates):
Sn  0.0000  0.0000  0.5000  2 Cs 3.06
Cr  0.5000  0.5000  0.5000  8 Sn 3.92, 4 B 4.32
Sn  0.5000  0.0000  0.0000  2 Cs 3.06
Cs  0.0000  0.0000  0.0000  2 B 2.45
B  0.0000  0.5000  0.0000  2 Cs 2.45

Values from the calculation:
Fermi-level density of states	0.893	states/eV per atom
DFT formation energy	2346	meV per atom

=====

# 9
First-principles (PBE-GGA) data for a relaxed structure of PrZrAl4, as listed in Alexandria via LeMat-Bulk.

a b c (Å): 5.5283 5.5283 5.5283
angles (deg): 60.00 60.00 60.00
Closest atoms and distances in Å follow each position.
Atoms (fractional coordinates):
Zr  0.0000  0.0000  0.0000  12 Al 3.24, 4 Pr 3.39
Pr  0.2500  0.2500  0.2500  12 Al 3.24, 4 Zr 3.39
Al  0.1237  0.6254  0.6254  6 Al 2.75-2.77
Al  0.6254  0.6254  0.1237  6 Al 2.75-2.77
Al  0.6254  0.1237  0.6254  6 Al 2.75-2.77
Al  0.6254  0.6254  0.6254  6 Al 2.75-2.77

Values from the calculation:
Fermi-level density of states	0.478	states/eV per atom
DFT formation energy	-447	meV per atom

=====

# 10
First-principles (PBE-GGA) data for a relaxed structure of CdGaMo3, as listed in Alexandria via LeMat-Bulk.

a b c (Å): 4.8569 4.8569 4.8569
angles (deg): 90.00 90.00 90.00
Closest atoms and distances in Å follow each position.
Atoms (fractional coordinates):
Ga  0.5000  0.5000  0.5000  12 Mo 3.43
Mo  0.0000  0.5000  0.0000  2 Cd 2.43
Mo  0.0000  0.0000  0.5000  2 Cd 2.43
Cd  0.0000  0.0000  0.0000  6 Mo 2.43
Mo  0.5000  0.0000  0.0000  2 Cd 2.43

Values from the calculation:
Fermi-level density of states	1.573	states/eV per atom
DFT formation energy	2471	meV per atom

=====

# 11
First-principles (PBE-GGA) data for a relaxed structure of AcPrTm2S4, as listed in Alexandria via LeMat-Bulk.

a b c (Å): 3.9266 7.2625 6.8271
angles (deg): 71.82 90.00 90.00
Closest atoms and distances in Å follow each position.
Atoms (fractional coordinates):
S  0.0000  0.7839  0.7346  3 Tm 2.70-2.74, 1 Pr 2.98, 2 Ac 3.01
Ac  0.5000  0.5000  0.0000  6 S 3.00-3.01
Tm  0.0000  0.0000  0.0000  6 S 2.74
S  0.5000  0.2193  0.7570  3 Tm 2.71-2.74, 2 Pr 2.98, 1 Ac 3.00
Tm  0.5000  0.0000  0.5000  6 S 2.70-2.71
Pr  0.0000  0.5000  0.5000  6 S 2.98
S  0.0000  0.2161  0.2654  3 Tm 2.70-2.74, 1 Pr 2.98, 2 Ac 3.01
S  0.5000  0.7807  0.2430  3 Tm 2.71-2.74, 2 Pr 2.98, 1 Ac 3.00

Values from the calculation:
Fermi-level density of states	0.354	states/eV per atom
formation energy from raw total energies	-1.970	eV/atom

=====

# 12
First-principles (PBE-GGA) data for a relaxed structure of ScAs2Ir, as listed in Alexandria via LeMat-Bulk.

a b c (Å): 8.5984 8.5984 8.5984
angles (deg): 21.63 21.63 21.63
Closest atoms and distances in Å follow each position.
Atoms (fractional coordinates):
As  0.0033  0.0033  0.0033  3 Sc 2.80, 3 As 3.11
As  0.2380  0.2380  0.2380  3 Ir 2.49
Ir  0.5057  0.5057  0.5057  3 As 2.49
Sc  0.7530  0.7530  0.7530  3 As 2.80, 3 Ir 2.86

Values from the calculation:
Fermi-level density of states	0.757	states/eV per atom
DFT formation energy	-226	meV per atom